Run one
The following is a DFT calculation (PBE) of a relaxed Hf2ScTa crystal.

Computed properties:
symmetry: P4/mmm (123)

Cell and atoms, written as extended XYZ:
```
4
Lattice="-0.3731 1.1377 3.4099 1.6718 -2.9800 1.1771 5.8492 3.1227 -0.4018" Properties=species:S:1:pos:R:3 pbc="T T T"
Sc 3.5739 0.6402 2.0926
Ta 0.6493 -0.9212 2.2935
Hf 4.5640 2.4366 -0.3135
Hf 1.2851 0.6861 -0.0883
```


Run two
The following is a DFT calculation (PBE) of a relaxed Hf2ScTa crystal.

Computed properties:
symmetry: I-42d (122)

Cell and atoms, written as extended XYZ:
```
8
Lattice="-4.7112 -3.0421 -5.2997 1.0289 -6.9913 3.0984 -4.1643 -4.5596 0.7022" Properties=species:S:1:pos:R:3 pbc="T T T"
Hf -4.5139 -7.1154 -0.3284
Hf -6.3354 -12.2656 -1.3699
Hf -3.9020 -3.9442 -2.8001
Hf -0.9419 -5.8607 1.5002
Sc -1.8411 -5.0167 -1.1007
Sc -2.4883 -8.2838 1.3500
Ta -5.3583 -6.3092 -2.8491
Ta 0.0000 0.0000 0.0000
```


What are the relative energies? In meV/atom: run one 0; run two 531.


Run one
The following is a DFT calculation (PBE) of a relaxed Hf2ScTa crystal.

Computed properties:
symmetry: R3m (160)

Cell and atoms, written as extended XYZ:
```
4
Lattice="3.1437 0.0000 0.0000 1.5719 2.7226 0.0000 1.5719 0.9075 10.1428" Properties=species:S:1:pos:R:3 pbc="T T T"
Hf 1.5719 0.9075 2.4170
Hf 1.5719 0.9075 7.7193
Ta 4.7156 2.7226 10.1419
Sc 3.1437 1.8150 5.0789
```


Run two
The following is a DFT calculation (PBE) of a relaxed Hf2ScTa crystal.

Computed properties:
symmetry: Fm-3m (225)

Cell and atoms, written as extended XYZ:
```
4
Lattice="-0.2917 2.9096 3.9626 -2.7599 -1.3504 3.8487 2.1511 -1.3591 4.2165" Properties=species:S:1:pos:R:3 pbc="T T T"
Ta -0.4503 0.1001 6.0139
Sc 0.0000 0.0000 0.0000
Hf -0.2251 0.0500 3.0070
Hf -0.6754 0.1501 9.0209
```


What are the relative energies? In meV/atom: run one 0; run two 18.


Run one
The following is a DFT calculation (PBE) of a relaxed TbHfSc crystal.

Computed properties:
symmetry: I4mm (107)

Cell and atoms, written as extended XYZ:
```
3
Lattice="3.2718 0.0000 0.0000 0.0000 3.2718 0.0000 -1.6359 -1.6359 7.2162" Properties=species:S:1:pos:R:3 pbc="T T T"
Tb 1.6359 1.6359 7.1241
Hf 0.0000 0.0000 4.7207
Sc 1.6359 1.6359 2.5876
```


Run two
The following is a DFT calculation (PBE) of a relaxed TbHfSc crystal.

Computed properties:
symmetry: P2_1/m (11)

Cell and atoms, written as extended XYZ:
```
6
Lattice="-1.4053 1.5844 -2.5062 -3.8783 -3.3715 0.0432 -3.1795 3.7661 8.4726" Properties=species:S:1:pos:R:3 pbc="T T T"
Tb -5.0318 -0.0649 1.7079
Tb -3.4313 2.0439 4.3016
Sc -3.1072 1.6100 -0.4602
Sc -5.3560 0.3690 6.4698
Hf -4.2003 -1.0631 -1.5392
Hf -4.2629 3.0421 7.5487
```


What are the relative energies? In meV/atom: run one 61; run two 0.